DFT (GGA+U) results for crystalline MnFeNiO4 at its relaxed geometry.

abc: 6.045 6.150 8.259
angles: 90.00 90.00 90.00
Space group Imma (No. 74)
Unique sites:
Mn  0.000  0.000  0.000
Fe  0.000  0.250  0.367
Ni  0.250  0.250  0.750
O  0.000  0.012  0.765
O  0.241  0.250  0.000

Results
E_tot ... -6.447 eV/atom